(1)
Here is an optimized crystal structure of YZn2Tc2 from Alexandria. Energies are from PBE.

The value obtained for the electronic total energy is -0.21528 Ha/atom. The energy above the lowest structure with this stoichiometry is 11 meV per atom. The value obtained for the mass density is 8.0 g cm⁻³. The calculation puts the total magnetization at 0.277 μB per cell.

The structure belongs to space group P4/mbm (No. 127); the cell edges are 7.611, 7.611 and 2.992 Å and the angles 90.00°, 90.00° and 90.00°. The asymmetric unit holds Y at (0.000, 0.000, 0.000), Zn at (0.182, 0.318, 0.500) and Tc at (0.108, 0.608, 0.000).

(2)
Here is an optimized crystal structure of HfTaVMo from Alexandria. Energies are from PBE.

The value obtained for the electronic total energy is -0.38367 Ha/atom. The value obtained for the mass density is 12.1 g cm⁻³. The calculation puts the total magnetization at 7.981 μB per cell.

The structure belongs to space group F-43m (No. 216); the cell edges are 6.530, 6.530 and 6.530 Å and the angles 90.00°, 90.00° and 90.00°. The asymmetric unit holds Hf at (0.000, 0.000, 0.000), Ta at (0.000, 0.000, 0.500), V at (0.250, 0.250, 0.250) and Mo at (0.250, 0.250, 0.750).

(3)
Here is an optimized crystal structure of Li2Pu from Alexandria. Energies are from PBE.

The value obtained for the electronic total energy is -0.20798 Ha/atom. The value obtained for the mass density is 8.9 g cm⁻³. The calculation puts the total magnetization at 0.355 μB per cell.

The structure belongs to space group I4/mmm (No. 139); the cell edges are 2.469, 2.469 and 15.721 Å and the angles 90.00°, 90.00° and 90.00°. The asymmetric unit holds Li at (0.000, 0.000, 0.173) and Pu at (0.000, 0.000, 0.500).

(4)
Here is an optimized crystal structure of Ba2ZnCuPb from Alexandria. Energies are from PBE.

The value obtained for the electronic total energy is -0.10043 Ha/atom. The value obtained for the mass density is 5.6 g cm⁻³. The calculation puts the total magnetization at 0.000 μB per cell.

The structure belongs to space group P4/mmm (No. 123); the cell edges are 6.201, 6.201 and 4.672 Å and the angles 90.00°, 90.00° and 90.00°. The asymmetric unit holds Ba at (0.000, 0.500, 0.000), Zn at (0.000, 0.000, 0.500), Cu at (0.000, 0.000, 0.000) and Pb at (0.500, 0.500, 0.500).

(5)
Here is an optimized crystal structure of ZnP from Alexandria. Energies are from PBE.

The value obtained for the electronic total energy is -0.12589 Ha/atom. The value obtained for the mass density is 4.1 g cm⁻³. The calculation puts the total magnetization at 0.000 μB per cell.

The structure belongs to space group C2/m (No. 12); the cell edges are 7.081, 4.019 and 5.602 Å and the angles 90.00°, 100.58° and 90.00°. The asymmetric unit holds Zn at (0.125, 0.000, 0.230) and P at (0.037, 0.500, 0.706).

(6)
Here is an optimized crystal structure of Nd2HoTe from Alexandria. Energies are from PBE.

The formation energy without anion corrections is -50.07 kJ/mol of atoms. The value obtained for the electronic total energy is -0.17760 Ha/atom. The energy above the lowest structure with this stoichiometry is 55 meV per atom. The value obtained for the mass density is 7.1 g cm⁻³. The calculation puts the total magnetization at 0.009 μB per cell.

The structure belongs to space group R-3m (No. 166, hexagonal axes); the cell edges are 3.9593, 3.9593 and 30.2332 Å and the angles 90.00°, 90.00° and 120.00°. The asymmetric unit holds Nd at (0.0000, 0.0000, 0.2394), Ho at (0.0000, 0.0000, 0.0000) and Te at (0.0000, 0.0000, 0.5000).

(7)
Here is an optimized crystal structure of TaNbB3 from Alexandria. Energies are from PBE.

The value obtained for the electronic total energy is -0.33639 Ha/atom. The energy above the lowest structure with this stoichiometry is 0 meV per atom. The value obtained for the mass density is 10.0 g cm⁻³. The calculation puts the total magnetization at 0.000 μB per cell.

The structure belongs to space group Cmcm (No. 63); the cell edges are 3.322, 19.530 and 3.135 Å and the angles 90.00°, 90.00° and 90.00°. The asymmetric unit holds Ta at (0.000, 0.203, 0.250), Nb at (0.000, 0.069, 0.750), B at (0.000, 0.334, 0.250), B at (0.000, 0.384, 0.750) and B at (0.000, 0.477, 0.750).

(8)
Here is an optimized crystal structure of Li2ZrCr from Alexandria. Energies are from PBE.

The value obtained for the electronic total energy is -0.18696 Ha/atom. The energy above the lowest structure with this stoichiometry is 100 meV per atom. The value obtained for the mass density is 3.8 g cm⁻³. The calculation puts the total magnetization at 4.926 μB per cell.

The structure belongs to space group I4/mmm (No. 139); the cell edges are 3.772, 3.772 and 9.770 Å and the angles 90.00°, 90.00° and 90.00°. The asymmetric unit holds Li at (0.000, 0.500, 0.250), Zr at (0.000, 0.000, 0.000) and Cr at (0.000, 0.000, 0.500).

- What is the formula in the sixth record?
  Nd2HoTe

- The highest electronic total energy belongs to which entry?
  Ba2ZnCuPb

- Which value of mass density does entry 4 give?
  5.6 g cm⁻³

- Which value of mass density does entry 5 give?
  4.1 g cm⁻³